Material: ZrSiIrPt2
Method: DFT, PBE
State: relaxed

Output
- Volume: 24.05 A^3/atom
- Energy relative to the elements, uncorrected: 1.207 eV per atom

a = 4.9737 Å, b = 4.9737 Å, c = 4.8607 Å
α = 90.00°, β = 90.00°, γ = 90.00°
Atoms (fractional coordinates):
Zr: 0.0000 0.0000 0.0000
Si: 0.5000 0.5000 0.5000
Ir: 0.0000 0.0000 0.5000
Pt: 0.0000 0.5000 0.0000
Pt: 0.5000 0.0000 0.0000

=====

Material: Zr2Si4Ir3Pt
Method: DFT, PBE
State: relaxed

Output
- Volume: 16.08 A^3/atom
- Energy relative to the elements, uncorrected: -0.910 eV per atom

a = 4.0198 Å, b = 4.0198 Å, c = 9.9536 Å
α = 90.00°, β = 90.00°, γ = 90.00°
Atoms (fractional coordinates):
Zr: 0.0000 0.5000 0.2465
Zr: 0.5000 0.0000 0.7535
Si: 0.0000 0.0000 0.0000
Si: 0.0000 0.5000 0.6407
Si: 0.5000 0.0000 0.3593
Si: 0.5000 0.5000 0.0000
Ir: 0.0000 0.5000 0.8722
Ir: 0.5000 0.0000 0.1278
Ir: 0.5000 0.5000 0.5000
Pt: 0.0000 0.0000 0.5000

=====

Material: Zr2Si4IrPt3
Method: DFT, PBE
State: relaxed

Output
- Volume: 16.24 A^3/atom
- Energy relative to the elements, uncorrected: -0.946 eV per atom

a = 3.8970 Å, b = 3.8970 Å, c = 10.6922 Å
α = 90.00°, β = 90.00°, γ = 90.00°
Atoms (fractional coordinates):
Zr: 0.0000 0.5000 0.2239
Zr: 0.5000 0.0000 0.7761
Si: 0.0000 0.0000 0.5000
Si: 0.0000 0.5000 0.8593
Si: 0.5000 0.0000 0.1407
Si: 0.5000 0.5000 0.5000
Ir: 0.5000 0.5000 0.0000
Pt: 0.0000 0.0000 0.0000
Pt: 0.0000 0.5000 0.6385
Pt: 0.5000 0.0000 0.3615

=====

Material: Sm12IrPt6
Method: DFT, PBE
State: relaxed

Output
- Volume: 29.70 A^3/atom
- DFT formation energy: -0.82 eV per atom

a = 8.3877 Å, b = 8.3877 Å, c = 8.3877 Å
α = 99.22°, β = 99.22°, γ = 99.22°
Atoms (fractional coordinates):
Sm: 0.0491 0.9273 0.6789
Sm: 0.0727 0.3211 0.9509
Sm: 0.1776 0.5824 0.4228
Sm: 0.3211 0.9509 0.0727
Sm: 0.4176 0.5772 0.8224
Sm: 0.4228 0.1776 0.5824
Sm: 0.5772 0.8224 0.4176
Sm: 0.5824 0.4228 0.1776
Sm: 0.6789 0.0491 0.9273
Sm: 0.8224 0.4176 0.5772
Sm: 0.9273 0.6789 0.0491
Sm: 0.9509 0.0727 0.3211
Ir: 0.0000 0.0000 0.0000
Pt: 0.1348 0.3081 0.6164
Pt: 0.3081 0.6164 0.1348
Pt: 0.3836 0.8652 0.6919
Pt: 0.6164 0.1348 0.3081
Pt: 0.6919 0.3836 0.8652
Pt: 0.8652 0.6919 0.3836